{"formula": "Sr3AlV", "functional": "GGA-PBE", "state": "optimized geometry", "cell": [[6.160, 0.000, 0.000], [0.000, 6.160, 0.000], [0.000, 0.000, 6.160]], "species": ["Sr", "Al", "Sr", "Sr", "V"], "frac_coords": [[0.000, 0.500, 0.000], [0.000, 0.000, 0.000], [0.000, 0.000, 0.500], [0.500, 0.000, 0.000], [0.500, 0.500, 0.500]], "relative_energy_mev_per_atom": 0.0, "formation_enthalpy_0k_kj_per_mol_atoms": 72, "rho_g_cm3": 2.42, "final_energy_ev_per_atom": -2.830, "crystal_system": "cubic", "sg": "Pm-3m"}

=====

{"formula": "YUMn2", "functional": "GGA-PBE", "state": "optimized geometry", "cell": [[3.568, 0.000, 0.000], [-1.784, 3.908, -1.192], [0.000, -0.493, 5.853]], "species": ["Y", "Mn", "U", "Mn"], "frac_coords": [[0.278, 0.557, 0.775], [0.734, 0.468, 0.179], [0.442, 0.883, 0.366], [0.046, 0.092, 0.180]], "relative_energy_mev_per_atom": 281.6, "formation_enthalpy_0k_kj_per_mol_atoms": 29, "rho_g_cm3": 9.12, "final_energy_ev_per_atom": -8.719, "crystal_system": "monoclinic", "sg": "Cm"}

=====

{"formula": "CeErAlAu", "functional": "GGA-PBE", "state": "optimized geometry", "cell": [[-3.982, -3.175, 0.917], [-0.742, -4.153, -2.998], [0.853, -4.741, 1.890]], "species": ["Al", "Au", "Er", "Ce"], "frac_coords": [[0.500, 0.500, 0.500], [0.000, 0.000, 0.000], [0.750, 0.750, 0.750], [0.250, 0.250, 0.250]], "formation_enthalpy_0k_kj_per_mol_atoms": -43, "rho_g_cm3": 9.00, "final_energy_ev_per_atom": -4.827, "crystal_system": "cubic", "sg": "F-43m"}